(1)
Here is a relaxed structure of LaCoN2 from the Alexandria database. Energies are from PBE.

Cell and atoms, written as POSCAR:
```
LaCoN2
1.0
1.5995 0.9235 6.0777
-1.5995 0.9235 6.0777
0.0000 -1.8469 6.0777
La Co N
1 1 2
Direct
0.0000 0.0000 0.0000
0.5000 0.5000 0.5000
0.1236 0.1236 0.1236
0.8764 0.8764 0.8764
```

**Space group**: R-3m, No. 166
**ΔE to the lowest computed polymorph**: 278 kJ/mol of formula units
**D(E_F)**: 4.35 states/eV per cell
**Raw formation energy**: 0.46 eV per atom


(2)
Here is a relaxed structure of BeHgPt3 from the Alexandria database. Energies are from PBE.

Cell and atoms, written as POSCAR:
```
BeHgPt3
1.0
2.8891 0.0000 0.0000
1.4408 4.8016 0.0000
1.4325 0.0734 5.5322
Be Hg Pt
1 1 3
Direct
0.0000 0.0000 0.0000
0.4059 0.7125 0.4744
0.2596 0.2416 0.2452
0.5595 0.1765 0.7034
0.7104 0.6261 0.9471
```

**Space group**: P1, No. 1
**ΔH_f (0 K)**: -114.7 kJ/mol of formula units
**ΔE to the lowest computed polymorph**: 32 kJ/mol of formula units
**D(E_F)**: 2.35 states/eV per cell